No. 1
RbCr2F after structural relaxation, computed with GGA+U.

Values from the calculation:
Energy above the lowest structure with this stoichiometry ... 0.000 eV per atom
Space group ... I4_1/amd (141)

POSCAR file:
```
RbCr2F
1.0
-3.562 3.562 5.088
3.562 -3.562 5.088
3.562 3.562 -5.088
Rb Cr F
2 4 2
direct
0.375 0.625 0.750 Rb
0.625 0.375 0.250 Rb
0.000 0.000 0.000 Cr
0.000 0.000 0.500 Cr
0.000 0.500 0.000 Cr
0.500 0.000 0.500 Cr
0.125 0.875 0.250 F
0.875 0.125 0.750 F
```

No. 2
RbCr2F8 after structural relaxation, computed with GGA+U.

Values from the calculation:
E ... -5.14 eV per atom
Space group ... C2/m (12)

POSCAR file:
```
RbCr2F8
1.0
3.205 -5.671 0.000
3.205 5.671 0.000
-0.215 0.000 3.866
Rb Cr F
1 2 8
direct
0.000 0.000 0.000 Rb
0.350 0.650 0.500 Cr
0.650 0.350 0.500 Cr
0.060 0.355 0.545 F
0.301 0.699 0.000 F
0.355 0.060 0.545 F
0.411 0.411 0.253 F
0.589 0.589 0.747 F
0.645 0.940 0.455 F
0.699 0.301 0.000 F
0.940 0.645 0.455 F
```

no.,magnetization (μB per formula unit)
1,9.2
2,5.0